# CeGd2Th | the Alexandria database | PBE | optimized geometry
# Total magnetic moment in μB/atom: 3.321
# Energy relative to the lowest polymorph listed for this composition in meV per atom: 0
# DFT total energy in eV/f.u.: -41.18
data_CeGd2Th
_symmetry_space_group_name_H-M 'P 4/m m m'
_symmetry_Int_Tables_number 123
_symmetry_space_group_name_Hall '-P 4 2'
_cell_length_a 3.5238
_cell_length_b 3.5238
_cell_length_c 10.2042
_cell_angle_alpha 90.00
_cell_angle_beta 90.00
_cell_angle_gamma 90.00
loop_
_atom_site_label
_atom_site_type_symbol
_atom_site_fract_x
_atom_site_fract_y
_atom_site_fract_z
Ce1 Ce 0.0000 0.0000 0.0000
Gd1 Gd 0.5000 0.5000 0.2505
Th1 Th 0.0000 0.0000 0.5000

# GdPu4Th | the Alexandria database | PBE | optimized geometry
# Total magnetic moment in μB/atom: 5.006
# DFT total energy in eV/f.u.: -77.54
data_GdPu4Th
_symmetry_space_group_name_H-M 'F -4 3 m'
_symmetry_Int_Tables_number 216
_symmetry_space_group_name_Hall 'F -4 2 3'
_cell_length_a 8.7393
_cell_length_b 8.7393
_cell_length_c 8.7393
_cell_angle_alpha 90.00
_cell_angle_beta 90.00
_cell_angle_gamma 90.00
loop_
_atom_site_label
_atom_site_type_symbol
_atom_site_fract_x
_atom_site_fract_y
_atom_site_fract_z
Gd1 Gd 0.0000 0.0000 0.0000
Pu1 Pu 0.1246 0.1246 0.6246
Th1 Th 0.2500 0.2500 0.2500

# PrDy2B6 | the Alexandria database | PBE | optimized geometry
# Total magnetic moment in μB/atom: 0.000
# DFT total energy in eV/f.u.: -57.97
data_PrDy2B6
_symmetry_space_group_name_H-M 'P 6/m m m'
_symmetry_Int_Tables_number 191
_symmetry_space_group_name_Hall '-P 6 2'
_cell_length_a 5.7428
_cell_length_b 5.7428
_cell_length_c 3.9819
_cell_angle_alpha 90.00
_cell_angle_beta 90.00
_cell_angle_gamma 120.00
loop_
_atom_site_label
_atom_site_type_symbol
_atom_site_fract_x
_atom_site_fract_y
_atom_site_fract_z
Pr1 Pr 0.0000 0.0000 0.0000
Dy1 Dy 0.3333 0.6667 0.0000
B1 B 0.0000 0.3405 0.5000

# CdGe2P | the Alexandria database | PBE | optimized geometry
# Total magnetic moment in μB/atom: 0.000
# Energy relative to the lowest polymorph listed for this composition in meV per atom: 299
# DFT total energy in eV/f.u.: -13.71
data_CdGe2P
_symmetry_space_group_name_H-M 'F m -3 m'
_symmetry_Int_Tables_number 225
_symmetry_space_group_name_Hall '-F 4 2 3'
_cell_length_a 6.7894
_cell_length_b 6.7894
_cell_length_c 6.7894
_cell_angle_alpha 90.00
_cell_angle_beta 90.00
_cell_angle_gamma 90.00
loop_
_atom_site_label
_atom_site_type_symbol
_atom_site_fract_x
_atom_site_fract_y
_atom_site_fract_z
Cd1 Cd 0.0000 0.0000 0.0000
Ge1 Ge 0.2500 0.2500 0.2500
P1 P 0.0000 0.0000 0.5000

no.,formation enthalpy at 0 K (eV per atom)
1,0.08
2,0.21
3,-0.44
4,0.46